1.
18
Lattice="5.459 0.000 0.000 -2.730 4.728 0.000 0.000 0.000 8.928" Properties=species:S:1:pos:R:3 comment="PBE HoSnSbO6, relaxed" raw_formation_energy_ev_per_fu=-17.8 crystal_system=trigonal pbc="T T T"
Ho 0.000 3.152 2.232
Ho 2.730 1.576 6.696
Sn 0.000 0.000 0.000
Sn 0.000 0.000 4.464
Sb 2.730 1.576 2.232
Sb 0.000 3.152 6.696
O 1.957 3.087 1.125
O 4.425 1.490 1.125
O -0.922 4.577 5.589
O -1.695 3.238 7.803
O 1.035 1.490 3.339
O 3.503 3.087 3.339
O 0.922 4.577 7.803
O 3.652 0.151 3.339
O -0.773 1.641 5.589
O 1.808 0.151 1.125
O 1.695 3.238 5.589
O 0.773 1.641 7.803

***

2.
12
Lattice="3.884 -0.165 0.120 -0.126 5.447 0.016 0.224 0.048 7.261" Properties=species:S:1:pos:R:3 comment="PBE TbHo2SbO8, relaxed" raw_formation_energy_ev_per_fu=-30.0 crystal_system=triclinic pbc="T T T"
Tb 0.112 0.024 3.631
Ho 1.998 2.580 5.481
Ho 1.984 2.749 1.916
Sb 0.000 0.000 0.000
O 0.117 4.184 1.601
O 2.317 4.175 7.220
O 3.785 1.196 1.710
O 3.865 1.145 5.796
O 1.666 1.154 0.177
O 0.197 4.133 5.687
O 1.938 4.013 3.759
O 2.044 1.316 3.639

***

Number 1: VASP energy -120.50 eV per cell. Number 2: VASP energy -87.54 eV per cell.